[1]
The following is a DFT calculation (PBE-GGA) of crystalline Nd4DyHo15 at its relaxed geometry.

a = 5.035 Å, b = 5.035 Å, c = 25.070 Å
α = 90.00°, β = 90.00°, γ = 90.00°
Space group P4/mmm (No. 123)
One atom of each set of equivalent atoms:
1 Nd 0.000 0.000 0.100 [2 per cell]
2 Nd 0.000 0.000 0.301 [2 per cell]
3 Dy 0.000 0.000 0.500 [1 per cell]
4 Ho 0.000 0.500 0.000 [2 per cell]
5 Ho 0.000 0.500 0.201 [4 per cell]
6 Ho 0.000 0.500 0.401 [4 per cell]
7 Ho 0.500 0.500 0.100 [2 per cell]
8 Ho 0.500 0.500 0.301 [2 per cell]
9 Ho 0.500 0.500 0.500 [1 per cell]

Summary:
VASP energy = -4.596 eV/atom
M_tot = 0.0 μB per formula unit
formation enthalpy at 0 K = 21 meV/atom

***

[2]
The following is a DFT calculation (PBE-GGA) of crystalline FeP2H at its relaxed geometry.

a = 5.411 Å, b = 5.411 Å, c = 5.411 Å
α = 90.00°, β = 90.00°, γ = 90.00°
Space group Fm-3m (No. 225)
One atom of each set of equivalent atoms:
1 Fe 0.000 0.000 0.000 [4 per cell]
2 P 0.250 0.250 0.250 [8 per cell]
3 H 0.000 0.000 0.500 [4 per cell]

Summary:
VASP energy = -5.317 eV/atom
M_tot = 0.0 μB per formula unit

***

[3]
The following is a DFT calculation (PBE-GGA) of crystalline LaCoBr2 at its relaxed geometry.

a = 15.763 Å, b = 3.868 Å, c = 4.052 Å
α = 90.00°, β = 95.13°, γ = 90.00°
Space group C2/m (No. 12)
One atom of each set of equivalent atoms:
1 La 0.000 0.000 0.000 [2 per cell]
2 Co 0.000 0.500 0.500 [2 per cell]
3 Br 0.139 0.500 0.738 [4 per cell]

Summary:
VASP energy = -4.752 eV/atom
M_tot = 0.1 μB per formula unit

***

[4]
The following is a DFT calculation (PBE-GGA) of crystalline YBeGaPt2 at its relaxed geometry.

a = 4.465 Å, b = 4.465 Å, c = 4.307 Å
α = 90.00°, β = 90.00°, γ = 90.00°
Space group P4/mmm (No. 123)
One atom of each set of equivalent atoms:
1 Y 0.000 0.000 0.000 [1 per cell]
2 Be 0.500 0.500 0.500 [1 per cell]
3 Ga 0.500 0.500 0.000 [1 per cell]
4 Pt 0.000 0.500 0.500 [2 per cell]

Summary:
VASP energy = -5.649 eV/atom
M_tot = 0.0 μB per formula unit
formation enthalpy at 0 K = -589 meV/atom

***

Which value of M_tot does entry 2 give? 0.0 μB per formula unit

***

Among the records above, which one has the highest M_tot? LaCoBr2